The following is a DFT calculation (GGA-PBE) of an optimized crystal structure of Pm2PdPt2.

Properties
Energy relative to the elements ... -1000 meV/atom

Cell lengths 4.5677, 5.7641, 8.3628 Å; angles 90.00, 90.00, 90.00 degrees
Space group Immm (No. 71)
One atom of each set of equivalent atoms:
Pm  0.0000  0.0000  0.2012 [4 per cell]
Pd  0.0000  0.5000  0.0000 [2 per cell]
Pt  0.0000  0.2679  0.5000 [4 per cell]



The following is a DFT calculation (GGA-PBE) of an optimized crystal structure of Ba2Ge3.

Properties
Energy relative to the elements ... -523 meV/atom

Cell lengths 5.0236, 28.0883, 4.3727 Å; angles 90.00, 90.00, 90.00 degrees
Space group Cmcm (No. 63)
One atom of each set of equivalent atoms:
Ba  0.0000  0.0713  0.2500 [4 per cell]
Ba  0.0000  0.2012  0.7500 [4 per cell]
Ge  0.0000  0.3289  0.7500 [4 per cell]
Ge  0.0000  0.3818  0.2500 [4 per cell]
Ge  0.0000  0.4759  0.2500 [4 per cell]



The following is a DFT calculation (GGA-PBE) of an optimized crystal structure of BeFeMo.

Properties
Energy relative to the elements ... -155 meV/atom

Cell lengths 4.6201, 4.6201, 33.6721 Å; angles 90.00, 90.00, 120.00 degrees
Space group R-3m (No. 166, hexagonal axes)
One atom of each set of equivalent atoms:
Be  0.0000  0.0000  0.0000 [3 per cell]
Be  0.0000  0.0000  0.1135 [6 per cell]
Be  0.0000  0.5000  0.5000 [9 per cell]
Fe  0.0014  0.5007  0.2768 [18 per cell]
Mo  0.0000  0.0000  0.2336 [6 per cell]
Mo  0.0000  0.0000  0.3184 [6 per cell]
Mo  0.0000  0.0000  0.4600 [6 per cell]



The following is a DFT calculation (GGA-PBE) of an optimized crystal structure of ScPdRh.

Properties
Energy relative to the elements ... -331 meV/atom

Cell lengths 7.3856, 4.3154, 4.3131 Å; angles 90.00, 125.14, 90.00 degrees
Space group Cm (No. 8)
One atom of each set of equivalent atoms:
Sc  0.0000  0.0000  0.0000 [2 per cell]
Pd  0.2501  0.0000  0.7482 [2 per cell]
Rh  0.2499  0.5000  0.2517 [2 per cell]



no.,total magnetic moment (Bohr magnetons per cell),energy above the most stable polymorph in this dataset (eV per atom)
1,0.00,0.024
2,0.00,0.000
3,29.93,0.013
4,0.00,0.314